1.
Below is an optimized crystal structure of TlSn2Hg6, with properties calculated at the GGA-PBE level.

Geometry as POSCAR:
```
TlSn2Hg6
1.0
-5.0934 -1.0395 -4.5859
3.1358 2.6898 -5.5665
4.6511 -10.0202 0.9253
Tl Hg Sn
2 12 4
direct
0.9084 0.0916 0.7500
0.0916 0.9084 0.2500
0.5603 0.0546 0.2382
0.6602 0.8252 0.4651
0.1182 0.7511 0.5246
0.1748 0.3398 0.0349
0.9454 0.4397 0.2618
0.4397 0.9454 0.7618
0.8252 0.6602 0.9651
0.3398 0.1748 0.5349
0.8818 0.2489 0.4754
0.0546 0.5603 0.7382
0.7511 0.1182 0.0246
0.2489 0.8818 0.9754
0.6083 0.5442 0.6476
0.4558 0.3917 0.8524
0.3917 0.4558 0.3524
0.5442 0.6083 0.1476
```

## Properties
* calculated formation energy: 0.27 eV/f.u.
* V: 27.9 Å³ per atom
* DFT total energy: -1.3241 eV/atom
* space group: No. 15

---

2.
Below is an optimized crystal structure of Tl5SnHg6, with properties calculated at the GGA-PBE level.

Geometry as POSCAR:
```
Tl5SnHg6
1.0
5.7063 0.2274 -1.4474
-3.7221 7.2838 -3.9262
-0.1072 -1.1796 8.9955
Hg Tl Sn
6 5 1
direct
0.7748 0.6046 0.9284
0.2765 0.7788 0.7788
0.2252 0.0716 0.3954
0.7748 0.9284 0.6046
0.2252 0.3954 0.0716
0.7235 0.2212 0.2212
0.5000 0.1818 0.8182
0.5000 0.8182 0.1818
0.5000 0.5000 0.5000
0.0000 0.6573 0.3427
0.0000 0.3427 0.6573
0.0000 0.0000 0.0000
```

## Properties
* calculated formation energy: 0.05 eV/f.u.
* V: 29.0 Å³ per atom
* DFT total energy: -1.4664 eV/atom
* space group: No. 12

---

3.
Below is an optimized crystal structure of Tl5SnHg2, with properties calculated at the GGA-PBE level.

Geometry as POSCAR:
```
Tl5SnHg2
1.0
-5.2136 0.4106 -4.2637
4.8583 -3.6533 -2.9223
-1.9470 -2.9325 5.7525
Hg Tl Sn
2 5 1
direct
0.2774 0.7776 0.4999
0.7775 0.2777 0.5001
0.7796 0.2760 0.0000
0.2761 0.2765 0.4967
0.2823 0.2821 0.0000
0.7795 0.7799 0.5034
0.2766 0.7797 0.0000
0.7740 0.7735 0.0000
```

## Properties
* calculated formation energy: 0.15 eV/f.u.
* V: 29.5 Å³ per atom
* DFT total energy: -2.0355 eV/atom
* space group: No. 8
* E above lowest polymorph: 0.000 eV/f.u.

---

4.
Below is an optimized crystal structure of Tl4SnHg5, with properties calculated at the GGA-PBE level.

Geometry as POSCAR:
```
Tl4SnHg5
1.0
3.9655 0.0000 0.0000
0.0000 3.9655 0.0000
0.0000 0.0000 18.0598
Tl Sn Hg
4 1 5
direct
0.0000 0.0000 0.3990
0.0000 0.0000 0.6010
0.0000 0.0000 0.8046
0.0000 0.0000 0.1954
0.0000 0.0000 0.0000
0.5000 0.5000 0.9044
0.5000 0.5000 0.7009
0.5000 0.5000 0.5000
0.5000 0.5000 0.0956
0.5000 0.5000 0.2991
```

## Properties
* calculated formation energy: 0.09 eV/f.u.
* V: 28.4 Å³ per atom
* DFT total energy: -1.4883 eV/atom
* space group: No. 123

---

5.
Below is an optimized crystal structure of Tl12Sn2Hg5, with properties calculated at the GGA-PBE level.

Geometry as POSCAR:
```
Tl12Sn2Hg5
1.0
8.3903 0.2998 1.4386
1.1917 8.1529 1.8337
0.3664 -0.3763 8.4248
Tl Sn Hg
12 2 5
direct
0.1979 0.4091 0.9631
0.7135 0.4434 0.4434
0.8021 0.0369 0.5909
0.2865 0.5566 0.5566
0.6092 0.8601 0.3501
0.1979 0.9631 0.4091
0.0930 0.8579 0.8579
0.6092 0.3501 0.8601
0.3908 0.1399 0.6499
0.3908 0.6499 0.1399
0.8021 0.5909 0.0369
0.9070 0.1421 0.1421
0.0000 0.2689 0.7311
0.0000 0.7311 0.2689
0.5047 0.2602 0.2602
0.4953 0.7398 0.7398
0.8940 0.6523 0.6523
0.5000 0.0000 0.0000
0.1060 0.3477 0.3477
```

## Properties
* calculated formation energy: 0.35 eV/f.u.
* V: 30.2 Å³ per atom
* DFT total energy: -1.9769 eV/atom
* space group: No. 12
* E above lowest polymorph: 0.000 eV/f.u.

---

6.
Below is an optimized crystal structure of Tl6SnHg2, with properties calculated at the GGA-PBE level.

Geometry as POSCAR:
```
Tl6SnHg2
1.0
3.4894 0.0000 0.0000
-1.7447 3.0219 0.0000
0.0000 0.0000 25.4174
Tl Sn Hg
6 1 2
direct
0.3333 0.6667 0.5631
0.6667 0.3333 0.8907
0.6667 0.3333 0.1093
0.3333 0.6667 0.4369
0.3333 0.6667 0.2259
0.3333 0.6667 0.7741
0.3333 0.6667 0.0000
0.6667 0.3333 0.6690
0.6667 0.3333 0.3310
```

## Properties
* calculated formation energy: 0.08 eV/f.u.
* V: 29.8 Å³ per atom
* DFT total energy: -2.0800 eV/atom
* space group: No. 187
* E above lowest polymorph: 0.000 eV/f.u.

---

7.
Below is an optimized crystal structure of Tl4Sn3Hg2, with properties calculated at the GGA-PBE level.

Geometry as POSCAR:
```
Tl4Sn3Hg2
1.0
-2.4126 5.3610 -1.6236
-8.6658 -2.9341 -2.4928
-2.7393 3.0747 8.5415
Sn Tl Hg
6 8 4
direct
0.7500 0.4615 0.5385
0.5201 0.1566 0.0508
0.0201 0.0508 0.1566
0.2500 0.5385 0.4615
0.4799 0.8434 0.9492
0.9799 0.9492 0.8434
0.4180 0.4754 0.8404
0.9641 0.3009 0.8846
0.0820 0.1595 0.5246
0.9180 0.8405 0.4754
0.5359 0.1154 0.6991
0.4641 0.8846 0.3009
0.5820 0.5246 0.1596
0.0359 0.6991 0.1154
0.5810 0.2153 0.3689
0.4190 0.7847 0.6311
0.0810 0.3689 0.2153
0.9190 0.6311 0.7847
```

## Properties
* calculated formation energy: 0.30 eV/f.u.
* V: 29.5 Å³ per atom
* DFT total energy: -2.4197 eV/atom
* space group: No. 15

---

8.
Below is an optimized crystal structure of Tl5SnHg2, with properties calculated at the GGA-PBE level.

Geometry as POSCAR:
```
Tl5SnHg2
1.0
-2.9864 -2.0627 0.6282
-0.4875 -1.5516 -7.4122
9.8129 -13.5403 2.1891
Tl Sn Hg
10 2 4
direct
0.0000 0.4893 0.7395
0.5000 0.2665 0.8770
0.0000 0.5107 0.2605
0.5000 0.2335 0.3770
0.0000 0.0000 0.0000
0.5000 0.7665 0.6230
0.0000 0.9893 0.7605
0.5000 0.7335 0.1230
0.0000 0.0107 0.2395
0.0000 0.5000 0.5000
0.0000 0.5000 0.0000
0.0000 0.0000 0.5000
0.5000 0.2629 0.1190
0.5000 0.2371 0.6190
0.5000 0.7371 0.8810
0.5000 0.7629 0.3810
```

## Properties
* calculated formation energy: 0.19 eV/f.u.
* V: 29.5 Å³ per atom
* DFT total energy: -2.0315 eV/atom
* space group: No. 55
* E above lowest polymorph: 0.032 eV/f.u.

---

What did the third record say?
Below is an optimized crystal structure of Tl5SnHg2, with properties calculated at the GGA-PBE level.

Geometry as POSCAR:
```
Tl5SnHg2
1.0
-5.2136 0.4106 -4.2637
4.8583 -3.6533 -2.9223
-1.9470 -2.9325 5.7525
Hg Tl Sn
2 5 1
direct
0.2774 0.7776 0.4999
0.7775 0.2777 0.5001
0.7796 0.2760 0.0000
0.2761 0.2765 0.4967
0.2823 0.2821 0.0000
0.7795 0.7799 0.5034
0.2766 0.7797 0.0000
0.7740 0.7735 0.0000
```

## Properties
* calculated formation energy: 0.15 eV/f.u.
* V: 29.5 Å³ per atom
* DFT total energy: -2.0355 eV/atom
* space group: No. 8
* E above lowest polymorph: 0.000 eV/f.u.